Record 1
# CaPtAu3 | the Alexandria database | PBE | optimized geometry
data_CaPtAu3
_chemical_formula_sum 'Ca1 Pt1 Au3'
_cell_length_a 5.108
_cell_length_b 5.108
_cell_length_c 5.108
_cell_angle_alpha 90.00
_cell_angle_beta 90.00
_cell_angle_gamma 90.00
_symmetry_space_group_name_H-M 'P m -3 m'
_symmetry_Int_Tables_number 221
_symmetry_space_group_name_Hall '-P 4 2 3'
loop_
_atom_site_label
_atom_site_fract_x
_atom_site_fract_y
_atom_site_fract_z
Ca1 0.000 0.000 0.000
Pt1 0.500 0.500 0.500
Au1 0.000 0.500 0.500
# energy relative to the lowest polymorph listed for this composition	41.65	kJ/mol of atoms
# E_form	-52	meV/atom

***

Record 2
# NdEr2ScTl4 | the Alexandria database | PBE | optimized geometry
data_NdEr2ScTl4
_chemical_formula_sum 'Nd3 Er6 Sc3 Tl12'
_cell_length_a 5.3196
_cell_length_b 5.3196
_cell_length_c 26.2837
_cell_angle_alpha 90.00
_cell_angle_beta 90.00
_cell_angle_gamma 120.00
_symmetry_space_group_name_H-M 'R -3 m'
_symmetry_Int_Tables_number 166
_symmetry_space_group_name_Hall '-R 3 2"'
loop_
_atom_site_label
_atom_site_fract_x
_atom_site_fract_y
_atom_site_fract_z
Nd1 0.0000 0.0000 0.0000
Er1 0.0000 0.0000 0.2484
Sc1 0.0000 0.0000 0.5000
Tl1 0.0000 0.0000 0.1279
Tl2 0.0000 0.0000 0.3785
# E_form	-303	meV/atom

***

Record 3
# Li2B11H11

Li2B11H11 after structural relaxation (PBE, the Alexandria database).

```
data_Li2B11H11
_chemical_formula_sum 'Li8 B44 H44'
_cell_length_a 8.073
_cell_length_b 11.336
_cell_length_c 10.596
_cell_angle_alpha 90.00
_cell_angle_beta 90.00
_cell_angle_gamma 90.00
_symmetry_space_group_name_H-M 'F m m 2'
_symmetry_Int_Tables_number 42
_symmetry_space_group_name_Hall 'F 2 -2'
loop_
_atom_site_label
_atom_site_fract_x
_atom_site_fract_y
_atom_site_fract_z
Li1 0.250 0.250 0.000
B1 0.000 0.000 0.003
B2 0.000 0.130 0.789
B3 0.000 0.146 0.955
B4 0.112 0.000 0.751
B5 0.164 0.080 0.890
H1 0.000 0.000 0.116
H2 0.000 0.216 0.723
H3 0.000 0.232 0.022
H4 0.195 0.115 0.403
H5 0.202 0.000 0.661
```

***

Record 4
# Ba2Tl2Pb | the Alexandria database | PBE | optimized geometry
data_Ba2Tl2Pb
_chemical_formula_sum 'Ba4 Tl4 Pb2'
_cell_length_a 9.870
_cell_length_b 9.870
_cell_length_c 4.167
_cell_angle_alpha 90.00
_cell_angle_beta 90.00
_cell_angle_gamma 90.00
_symmetry_space_group_name_H-M 'P 4/m b m'
_symmetry_Int_Tables_number 127
_symmetry_space_group_name_Hall '-P 4 2ab'
loop_
_atom_site_label
_atom_site_fract_x
_atom_site_fract_y
_atom_site_fract_z
Ba1 0.171 0.329 0.000
Tl1 0.128 0.628 0.500
Pb1 0.000 0.000 0.000
# energy relative to the lowest polymorph listed for this composition	24.04	kJ/mol of atoms
# E_form	-166	meV/atom

***

The final energy results, record by record, are as follows: -3.627, -4.014, -4.997, -2.624 eV per atom.
The N(E_F) results, record by record, are as follows: 0.334, 0.845, 0.000, 0.687 states/eV/atom.